# 1
TlTe2NO: relaxed, PBE.

**Energy above the most stable polymorph in this dataset**: 4.11 eV/f.u.
**DOS at the Fermi energy**: 1.2841 states/eV per atom

Lattice parameters (Å, degrees): 6.0220 6.0220 4.2196 90.00 90.00 90.00
Closest atoms and distances in Å follow each position.
Space group P4/mmm (No. 123)
Asymmetric unit:
Tl  0.0000  0.0000  0.0000 [1 per cell]  2 N 2.11
Te  0.0000  0.5000  0.0000 [2 per cell]  2 Tl 3.01
N  0.0000  0.0000  0.5000 [1 per cell]  2 Tl 2.11
O  0.5000  0.5000  0.5000 [1 per cell]  8 Te 3.68

=====

# 2
LaRh2AuI: relaxed, PBE.

**Calculated total energy**: -22.029 eV per cell
**DOS at the Fermi energy**: 0.8593 states/eV per atom

Lattice parameters (Å, degrees): 4.8500 4.8500 5.9845 90.00 90.00 90.00
Closest atoms and distances in Å follow each position.
Space group P4/mmm (No. 123)
Asymmetric unit:
La  0.0000  0.0000  0.0000 [1 per cell]  2 I 2.99
Rh  0.0000  0.5000  0.5000 [2 per cell]  2 I 2.42
Au  0.5000  0.5000  0.0000 [1 per cell]  4 La 3.43
I  0.0000  0.0000  0.5000 [1 per cell]  4 Rh 2.42

=====

Number 1: spin magnetization 5.20 μB per formula unit. Number 2: spin magnetization 0.00 μB per formula unit.